Ac4Cu3NiO12: optimized geometry, PBE+U.

D(E_F), states/eV/atom: 0.15
Spin magnetization, μB per formula unit: 1.544
Uncorrected energy, eV/f.u.: -131.3

Unit cell a=6.834 b=6.834 c=6.834 alpha=109.47 beta=109.47 gamma=109.47
Atoms (fractional coordinates):
Ac (0.000, 0.000, 0.500)
Ac (0.000, 0.500, 0.000)
Ac (0.500, 0.000, 0.000)
Ac (0.500, 0.500, 0.500)
Cu (0.000, 0.500, 0.500)
Cu (0.500, 0.000, 0.500)
Cu (0.500, 0.500, 0.000)
Ni (0.000, 0.000, 0.000)
O (0.000, 0.255, 0.255)
O (0.000, 0.745, 0.745)
O (0.250, 0.500, 0.750)
O (0.250, 0.750, 0.500)
O (0.255, 0.000, 0.255)
O (0.255, 0.255, 0.000)
O (0.500, 0.250, 0.750)
O (0.500, 0.750, 0.250)
O (0.745, 0.000, 0.745)
O (0.745, 0.745, 0.000)
O (0.750, 0.250, 0.500)
O (0.750, 0.500, 0.250)